Record 1
The following is a DFT calculation (PBE) of crystalline Er6ThSc4 at its relaxed geometry.

total DFT energy (no corrections): -5.123 eV per atom
excess energy over the best structure of this formula in the dataset: 0.210 eV/atom
space group: No. 121

```
11
Lattice="6.3401 0.0000 0.0000 0.0000 6.3401 0.0000 -3.1701 -3.1701 8.2179" Properties=species:S:1:pos:R:3 pbc="T T T"
Th 3.1701 3.1701 0.0000
Er 0.0000 3.1701 0.0000
Sc 1.1548 1.1548 2.0581
Sc -2.0153 2.0153 6.1598
Sc 5.1853 5.1853 2.0581
Er 1.2075 1.2075 5.2733
Er 3.1701 0.0000 0.0000
Sc 2.0153 -2.0153 6.1598
Er 4.3776 1.9625 2.9446
Er -1.2075 -1.2075 5.2733
Er 1.9625 4.3776 2.9446
```

***

Record 2
The following is a DFT calculation (PBE) of crystalline Er3ThSc6 at its relaxed geometry.

total DFT energy (no corrections): -5.488 eV per atom
excess energy over the best structure of this formula in the dataset: 0.251 eV/atom
space group: No. 155

```
10
Lattice="-8.7256 2.7592 -1.1345 -4.6511 3.6176 7.0934 -3.2365 5.5936 1.0192" Properties=species:S:1:pos:R:3 pbc="T T T"
Sc -11.4513 6.2012 3.2909
Sc -6.9935 4.0845 1.3354
Er -7.9390 7.0281 3.1982
Th -13.0096 7.4184 5.6685
Sc -9.4989 8.2373 5.5748
Sc -9.3042 6.7374 0.4423
Er -8.8288 4.5038 3.9022
Er -3.8123 3.9601 1.4747
Sc -7.2115 5.5804 6.4237
Sc -5.0170 6.1012 3.5799
```

***

Record 3
The following is a DFT calculation (PBE) of crystalline ErTh2Sc at its relaxed geometry.

total DFT energy (no corrections): -6.381 eV per atom
excess energy over the best structure of this formula in the dataset: 0.017 eV/atom
space group: No. 160

```
4
Lattice="-0.9180 1.2138 -3.1523 -2.8110 -1.3049 -1.6273 -7.7079 7.7921 3.3016" Properties=species:S:1:pos:R:3 pbc="T T T"
Th -6.1343 5.8881 2.1102
Sc -10.1606 7.6910 0.0900
Th -2.8148 1.8715 -0.4031
Er -5.7535 3.8929 -0.7124
```

***

Record 4
The following is a DFT calculation (PBE) of crystalline ErThSc2 at its relaxed geometry.

total DFT energy (no corrections): -6.103 eV per atom
excess energy over the best structure of this formula in the dataset: 0.025 eV/atom
space group: No. 225

```
4
Lattice="5.4009 0.0000 0.0000 2.7005 4.6773 0.0000 2.7005 1.5591 4.4098" Properties=species:S:1:pos:R:3 pbc="T T T"
Th 0.0000 0.0000 0.0000
Sc 8.1014 4.6773 3.3074
Sc 2.7005 1.5591 1.1025
Er 5.4009 3.1182 2.2049
```

***

Record 5
The following is a DFT calculation (PBE) of crystalline ErTh2Sc at its relaxed geometry.

total DFT energy (no corrections): -6.399 eV per atom
excess energy over the best structure of this formula in the dataset: 0.000 eV/atom
space group: No. 123

```
4
Lattice="3.5232 0.0000 0.0000 0.0000 3.5232 0.0000 0.0000 0.0000 9.6315" Properties=species:S:1:pos:R:3 pbc="T T T"
Th 0.0000 0.0000 7.3211
Th 0.0000 0.0000 2.3104
Er 1.7616 1.7616 4.8158
Sc 1.7616 1.7616 0.0000
```

***

Record 6
The following is a DFT calculation (PBE) of crystalline Er2ThSc at its relaxed geometry.

total DFT energy (no corrections): -5.541 eV per atom
excess energy over the best structure of this formula in the dataset: 0.150 eV/atom
space group: No. 225

```
4
Lattice="5.5277 0.0000 0.0000 2.7638 4.7871 0.0000 2.7638 1.5957 4.5133" Properties=species:S:1:pos:R:3 pbc="T T T"
Th 0.0000 0.0000 0.0000
Er 2.7638 1.5957 1.1283
Sc 5.5277 3.1914 2.2567
Er 8.2915 4.7871 3.3850
```

***

Record 7
The following is a DFT calculation (PBE) of crystalline Er2Th5Sc2 at its relaxed geometry.

total DFT energy (no corrections): -6.412 eV per atom
space group: No. 12

```
9
Lattice="5.4034 0.0000 2.0059 2.0127 5.0737 2.8590 -0.5540 0.1650 9.7729" Properties=species:S:1:pos:R:3 pbc="T T T"
Er 4.2429 0.6242 5.1320
Sc 1.9201 1.9542 11.3891
Th 1.3282 2.2751 4.7028
Th 0.0000 0.0000 0.0000
Er 2.6192 4.6145 9.5058
Th 5.5339 2.9636 9.9351
Th 3.8081 4.0587 6.3033
Th 3.0540 1.1801 8.3346
Sc 4.9420 3.2845 3.2487
```

***

Record 8
The following is a DFT calculation (PBE) of crystalline ErThSc2 at its relaxed geometry.

total DFT energy (no corrections): -6.103 eV per atom
excess energy over the best structure of this formula in the dataset: 0.025 eV/atom
space group: No. 123

```
4
Lattice="3.8832 0.0000 0.0000 0.0000 3.8832 0.0000 0.0000 0.0000 7.3885" Properties=species:S:1:pos:R:3 pbc="T T T"
Th 1.9416 1.9416 3.6942
Er 1.9416 1.9416 0.0000
Sc 0.0000 0.0000 5.5055
Sc 0.0000 0.0000 1.8830
```

***

Record 9
The following is a DFT calculation (PBE) of crystalline Er2Th3Sc2 at its relaxed geometry.

total DFT energy (no corrections): -6.128 eV per atom
excess energy over the best structure of this formula in the dataset: 0.122 eV/atom
space group: No. 14

```
14
Lattice="-0.2172 5.3653 -10.2942 -1.2280 -6.8735 1.0218 -6.0605 1.1943 0.7503" Properties=species:S:1:pos:R:3 pbc="T T T"
Th -0.5607 -1.4192 -1.4415
Er -5.2327 -1.5392 -5.5904
Er -6.1757 -4.0147 -0.3131
Sc -4.9530 3.3783 -8.8664
Th -0.1086 2.6826 -5.1471
Th -3.0302 0.5971 0.3752
Er -2.2729 1.2253 -2.9318
Sc -2.1480 -1.1107 -4.8664
Sc -5.3577 0.7968 -3.6557
Th -4.0007 -2.1361 -2.2845
Sc -2.5527 -3.6922 0.3443
Er -1.3300 3.7008 -8.2091
Th -6.9449 1.1053 -7.0806
Th -3.5049 1.8222 -6.2376
```

***

Record 10
The following is a DFT calculation (PBE) of crystalline Er3Th3Sc5 at its relaxed geometry.

total DFT energy (no corrections): -6.042 eV per atom
excess energy over the best structure of this formula in the dataset: 0.000 eV/atom
space group: No. 1

```
11
Lattice="-2.6976 0.5413 5.5622 -5.8866 1.1566 -7.4476 -0.8089 -5.7876 5.8118" Properties=species:S:1:pos:R:3 pbc="T T T"
Er -6.8350 -3.6902 3.6815
Th -4.5306 0.5406 -4.6585
Sc -5.6469 -1.8444 0.9722
Er -1.5367 -5.1044 6.3932
Th -2.4379 -2.2631 0.5823
Th -3.0603 -2.9227 8.7515
Sc -4.3167 -0.9235 -1.8688
Sc -7.6860 -0.7762 -1.6439
Sc -4.7714 -4.8645 6.3670
Er -3.4482 -0.5063 3.2900
Sc -3.5051 -3.8813 3.5769
```

***

Record 11
The following is a DFT calculation (PBE) of crystalline Er2ThSc at its relaxed geometry.

total DFT energy (no corrections): -5.663 eV per atom
excess energy over the best structure of this formula in the dataset: 0.028 eV/atom
space group: No. 160

```
4
Lattice="-1.5177 -2.3655 -2.0669 1.7452 -1.3168 -2.7187 4.0207 -9.4522 4.9209" Properties=species:S:1:pos:R:3 pbc="T T T"
Sc 0.1583 -2.4686 -3.1795
Er 3.0767 -7.4840 3.3616
Er 1.0216 -3.1992 -0.0331
Th 2.1158 -6.5499 0.0539
```

***

Record 12
The following is a DFT calculation (PBE) of crystalline Er2Th9Sc at its relaxed geometry.

total DFT energy (no corrections): -6.796 eV per atom
space group: No. 123

```
12
Lattice="-3.5616 2.6725 2.3090 -1.0201 -3.9179 2.9611 10.1329 4.8938 9.9659" Properties=species:S:1:pos:R:3 pbc="T T T"
Th -0.1226 2.1371 2.7854
Th 6.6938 5.4292 9.4895
Th 4.4799 2.6474 9.2943
Th 4.5564 0.4880 6.4635
Er 6.7701 3.2697 6.6585
Er 3.3628 1.6241 3.3074
Th 3.2856 3.7832 6.1374
Th 1.1482 -1.1581 3.1115
Th 7.9646 2.1340 9.8156
Th 1.0712 1.0011 5.9417
Th -2.2909 -0.6227 2.6351
Sc 0.0000 0.0000 0.0000
```

***

Number 1: DFT formation energy 0.342 eV/atom. Number 2: DFT formation energy 0.422 eV/atom. Number 3: DFT formation energy 0.052 eV/atom. Number 4: DFT formation energy 0.058 eV/atom. Number 5: DFT formation energy 0.035 eV/atom. Number 6: DFT formation energy 0.178 eV/atom. Number 7: DFT formation energy 0.131 eV/atom. Number 8: DFT formation energy 0.059 eV/atom. Number 9: DFT formation energy 0.165 eV/atom. Number 10: DFT formation energy 0.103 eV/atom. Number 11: DFT formation energy 0.057 eV/atom. Number 12: DFT formation energy 0.057 eV/atom.